No. 1
# GGA-PBEsol MnAsPt2, optimized geometry
data_MnAsPt2
_chemical_formula_sum 'Mn4 As4 Pt8'
_cell_length_a 6.214
_cell_length_b 6.214
_cell_length_c 6.214
_cell_angle_alpha 90.00
_cell_angle_beta 90.00
_cell_angle_gamma 90.00
_symmetry_space_group_name_H-M 'F -4 3 m'
_symmetry_Int_Tables_number 216
_symmetry_space_group_name_Hall 'F -4 2 3'
loop_
_atom_site_label
_atom_site_type_symbol
_atom_site_fract_x
_atom_site_fract_y
_atom_site_fract_z
_atom_site_occupancy
Mn1 Mn 0.000 0.000 0.000 1
As1 As 0.250 0.250 0.250 1
Pt1 Pt 0.000 0.000 0.500 1
Pt2 Pt 0.250 0.250 0.750 1
# Crystal system: cubic
# Total moment (μB per cell): 14.1
# Final energy (eV per atom): -7.2064

No. 2
# GGA-PBEsol MnAsPt2, optimized geometry
data_MnAsPt2
_chemical_formula_sum 'Mn1 As1 Pt2'
_cell_length_a 3.114
_cell_length_b 3.728
_cell_length_c 5.286
_cell_angle_alpha 90.00
_cell_angle_beta 90.00
_cell_angle_gamma 90.00
_symmetry_space_group_name_H-M 'P m m 2'
_symmetry_Int_Tables_number 25
_symmetry_space_group_name_Hall 'P 2 -2'
loop_
_atom_site_label
_atom_site_type_symbol
_atom_site_fract_x
_atom_site_fract_y
_atom_site_fract_z
_atom_site_occupancy
Mn1 Mn 0.000 0.000 0.000 1
As1 As 0.500 0.500 0.686 1
Pt1 Pt 0.000 0.000 0.498 1
Pt2 Pt 0.500 0.500 0.189 1
# Crystal system: orthorhombic
# Total moment (μB per cell): 4.2
# Final energy (eV per atom): -7.2954

No. 3
# GGA-PBEsol ZrMn2AsPt, optimized geometry
data_ZrMn2AsPt
_chemical_formula_sum 'Zr1 Mn2 As1 Pt1'
_cell_length_a 4.727
_cell_length_b 4.727
_cell_length_c 4.970
_cell_angle_alpha 90.00
_cell_angle_beta 90.00
_cell_angle_gamma 90.00
_symmetry_space_group_name_H-M 'P 4/m m m'
_symmetry_Int_Tables_number 123
_symmetry_space_group_name_Hall '-P 4 2'
loop_
_atom_site_label
_atom_site_type_symbol
_atom_site_fract_x
_atom_site_fract_y
_atom_site_fract_z
_atom_site_occupancy
Zr1 Zr 0.000 0.000 0.000 1
Mn1 Mn 0.000 0.500 0.500 1
As1 As 0.500 0.500 0.000 1
Pt1 Pt 0.000 0.000 0.500 1
# Crystal system: tetragonal
# Total moment (μB per cell): 8.0
# Final energy (eV per atom): -7.5355

No. 4
# GGA-PBEsol RbMnAs, optimized geometry
data_RbMnAs
_chemical_formula_sum 'Rb2 Mn2 As2'
_cell_length_a 3.835
_cell_length_b 3.835
_cell_length_c 11.398
_cell_angle_alpha 90.00
_cell_angle_beta 90.00
_cell_angle_gamma 90.00
_symmetry_space_group_name_H-M 'P 4/n m m'
_symmetry_Int_Tables_number 129
loop_
_symmetry_equiv_pos_as_xyz
'x,y,z'
'-x,-y,-z'
'-y+1/2,x,z'
'y+1/2,-x,-z'
'-x+1/2,-y+1/2,z'
'x+1/2,y+1/2,-z'
'y,-x+1/2,z'
'-y,x+1/2,-z'
'x+1/2,-y,-z'
'-x+1/2,y,z'
'-y,-x,-z'
'y,x,z'
'-x,y+1/2,-z'
'x,-y+1/2,z'
'y+1/2,x+1/2,-z'
'-y+1/2,-x+1/2,z'
loop_
_atom_site_label
_atom_site_type_symbol
_atom_site_fract_x
_atom_site_fract_y
_atom_site_fract_z
_atom_site_occupancy
Rb1 Rb 0.250 0.250 0.202 1
Mn1 Mn 0.250 0.750 0.500 1
As1 As 0.250 0.250 0.623 1
# Crystal system: tetragonal
# Total moment (μB per cell): 3.7
# Final energy (eV per atom): -5.5260

No. 5
# GGA-PBEsol MnRe2As, optimized geometry
data_MnRe2As
_chemical_formula_sum 'Mn2 Re4 As2'
_cell_length_a 5.303
_cell_length_b 8.405
_cell_length_c 2.759
_cell_angle_alpha 90.00
_cell_angle_beta 113.72
_cell_angle_gamma 90.00
_symmetry_space_group_name_H-M 'C 1 2/m 1'
_symmetry_Int_Tables_number 12
_symmetry_space_group_name_Hall '-C 2y'
loop_
_atom_site_label
_atom_site_type_symbol
_atom_site_fract_x
_atom_site_fract_y
_atom_site_fract_z
_atom_site_occupancy
Mn1 Mn 0.000 0.000 0.000 1
Re1 Re 0.250 0.250 0.500 1
As1 As 0.000 0.500 0.000 1
# Crystal system: monoclinic
# Total moment (μB per cell): 3.8
# Final energy (eV per atom): -9.9311

No. 6
# GGA-PBEsol MnRe2As, optimized geometry
data_MnRe2As
_chemical_formula_sum 'Mn1 Re2 As1'
_cell_length_a 2.881
_cell_length_b 2.881
_cell_length_c 6.425
_cell_angle_alpha 90.00
_cell_angle_beta 90.00
_cell_angle_gamma 90.00
_symmetry_space_group_name_H-M 'P 4 m m'
_symmetry_Int_Tables_number 99
_symmetry_space_group_name_Hall 'P 4 -2'
loop_
_atom_site_label
_atom_site_type_symbol
_atom_site_fract_x
_atom_site_fract_y
_atom_site_fract_z
_atom_site_occupancy
Mn1 Mn 0.000 0.000 0.000 1
Re1 Re 0.000 0.000 0.531 1
Re2 Re 0.500 0.500 0.262 1
As1 As 0.500 0.500 0.797 1
# Crystal system: tetragonal
# Total moment (μB per cell): 0.0
# Final energy (eV per atom): -10.2905

No. 7
# GGA-PBEsol MnRe2As, optimized geometry
data_MnRe2As
_chemical_formula_sum 'Mn2 Re4 As2'
_cell_length_a 8.826
_cell_length_b 2.883
_cell_length_c 4.471
_cell_angle_alpha 90.00
_cell_angle_beta 107.97
_cell_angle_gamma 90.00
_symmetry_space_group_name_H-M 'C 1 m 1'
_symmetry_Int_Tables_number 8
_symmetry_space_group_name_Hall 'C -2y'
loop_
_atom_site_label
_atom_site_type_symbol
_atom_site_fract_x
_atom_site_fract_y
_atom_site_fract_z
_atom_site_occupancy
Mn1 Mn 0.000 0.000 0.000 1
Re1 Re 0.261 0.000 0.869 1
Re2 Re 0.488 0.000 0.499 1
As1 As 0.238 0.500 0.328 1
# Crystal system: monoclinic
# Total moment (μB per cell): 1.9
# Final energy (eV per atom): -10.2013

No. 8
# GGA-PBEsol MnAs2Rh, optimized geometry
data_MnAs2Rh
_chemical_formula_sum 'Mn4 As8 Rh4'
_cell_length_a 6.235
_cell_length_b 6.235
_cell_length_c 6.235
_cell_angle_alpha 90.00
_cell_angle_beta 90.00
_cell_angle_gamma 90.00
_symmetry_space_group_name_H-M 'F -4 3 m'
_symmetry_Int_Tables_number 216
_symmetry_space_group_name_Hall 'F -4 2 3'
loop_
_atom_site_label
_atom_site_type_symbol
_atom_site_fract_x
_atom_site_fract_y
_atom_site_fract_z
_atom_site_occupancy
Mn1 Mn 0.000 0.000 0.000 1
As1 As 0.000 0.000 0.500 1
As2 As 0.250 0.250 0.750 1
Rh1 Rh 0.250 0.250 0.250 1
# Crystal system: cubic
# Total moment (μB per cell): 15.8
# Final energy (eV per atom): -6.8063

No. 9
# GGA-PBEsol MnAs2Rh, optimized geometry
data_MnAs2Rh
_chemical_formula_sum 'Mn1 As2 Rh1'
_cell_length_a 2.950
_cell_length_b 4.605
_cell_length_c 4.208
_cell_angle_alpha 90.00
_cell_angle_beta 90.00
_cell_angle_gamma 90.00
_symmetry_space_group_name_H-M 'P m m 2'
_symmetry_Int_Tables_number 25
_symmetry_space_group_name_Hall 'P 2 -2'
loop_
_atom_site_label
_atom_site_type_symbol
_atom_site_fract_x
_atom_site_fract_y
_atom_site_fract_z
_atom_site_occupancy
Mn1 Mn 0.000 0.000 0.000 1
As1 As 0.000 0.500 0.223 1
As2 As 0.500 0.000 0.513 1
Rh1 Rh 0.500 0.500 0.742 1
# Crystal system: orthorhombic
# Total moment (μB per cell): 2.2
# Final energy (eV per atom): -7.2276

No. 10
# GGA-PBEsol MnAs2Rh, optimized geometry
data_MnAs2Rh
_chemical_formula_sum 'Mn2 As4 Rh2'
_cell_length_a 3.704
_cell_length_b 3.704
_cell_length_c 8.505
_cell_angle_alpha 90.00
_cell_angle_beta 90.00
_cell_angle_gamma 90.00
_symmetry_space_group_name_H-M 'I -4 m 2'
_symmetry_Int_Tables_number 119
_symmetry_space_group_name_Hall 'I -4 -2'
loop_
_atom_site_label
_atom_site_type_symbol
_atom_site_fract_x
_atom_site_fract_y
_atom_site_fract_z
_atom_site_occupancy
Mn1 Mn 0.000 0.000 0.000 1
As1 As 0.000 0.000 0.500 1
As2 As 0.000 0.500 0.750 1
Rh1 Rh 0.000 0.500 0.250 1
# Crystal system: tetragonal
# Total moment (μB per cell): 6.5
# Final energy (eV per atom): -7.0423

No. 11
# GGA-PBEsol MnAs2Rh, optimized geometry
data_MnAs2Rh
_chemical_formula_sum 'Mn3 As6 Rh3'
_cell_length_a 3.1131
_cell_length_b 3.1131
_cell_length_c 22.5154
_cell_angle_alpha 90.00
_cell_angle_beta 90.00
_cell_angle_gamma 120.00
_symmetry_space_group_name_H-M 'R 3 m'
_symmetry_Int_Tables_number 160
_symmetry_space_group_name_Hall 'R 3 -2"'
loop_
_atom_site_label
_atom_site_type_symbol
_atom_site_fract_x
_atom_site_fract_y
_atom_site_fract_z
_atom_site_occupancy
Mn1 Mn 0.0000 0.0000 0.0000 1
As1 As 0.0000 0.0000 0.2637 1
As2 As 0.0000 0.0000 0.4948 1
Rh1 Rh 0.0000 0.0000 0.7567 1
# Crystal system: trigonal
# Total moment (μB per cell): 9.0
# Final energy (eV per atom): -6.9834

No. 12
# GGA-PBEsol MnAs2Rh, optimized geometry
data_MnAs2Rh
_chemical_formula_sum 'Mn2 As4 Rh2'
_cell_length_a 7.620
_cell_length_b 2.920
_cell_length_c 5.134
_cell_angle_alpha 90.00
_cell_angle_beta 103.21
_cell_angle_gamma 90.00
_symmetry_space_group_name_H-M 'C 1 2/m 1'
_symmetry_Int_Tables_number 12
_symmetry_space_group_name_Hall '-C 2y'
loop_
_atom_site_label
_atom_site_type_symbol
_atom_site_fract_x
_atom_site_fract_y
_atom_site_fract_z
_atom_site_occupancy
Mn1 Mn 0.000 0.000 0.000 1
As1 As 0.245 0.500 0.230 1
Rh1 Rh 0.000 0.500 0.500 1
# Crystal system: monoclinic
# Total moment (μB per cell): 2.8
# Final energy (eV per atom): -7.1154